Record 1
VASP calculation (GGA-PBE) on a relaxed structure of Mg2GeBr.

Calculated values
Energy relative to the elements, uncorrected ... -0.2805 eV per atom

Lattice parameters (Å, degrees): 6.4296 6.4296 7.4477 64.43 64.43 90.00
Closest atoms and distances in Å follow each position.
Fractional coordinates of all 8 atoms:
Ge 0.5000 0.5000 0.0000  4 Mg 2.62
Ge 0.2500 0.7500 0.5000  4 Mg 2.62
Mg 0.5996 0.1250 0.2500  2 Ge 2.62, 2 Br 2.81
Mg 0.1504 0.6250 0.2500  2 Ge 2.62, 2 Br 2.81
Mg 0.3750 0.4004 0.7500  2 Ge 2.62, 2 Br 2.81
Mg 0.8750 0.8496 0.7500  2 Ge 2.62, 2 Br 2.81
Br 0.0000 0.0000 0.0000  4 Mg 2.81
Br 0.7500 0.2500 0.5000  4 Mg 2.81

Record 2
VASP calculation (GGA-PBE) on a relaxed structure of NdDy8Th4.

Calculated values
Formation enthalpy at 0 K ... 211 meV per atom

Lattice parameters (Å, degrees): 7.3835 7.3835 9.8742 90.00 111.96 120.00
Closest atoms and distances in Å follow each position.
Fractional coordinates of all 13 atoms:
Nd 0.0000 0.5000 0.5000  6 Dy 2.93
Dy 0.5567 0.7784 0.3351  3 Th 3.67, 9 Dy 3.68-3.71
Dy 0.4433 0.2216 0.6649  3 Th 3.67, 9 Dy 3.68-3.71
Dy 0.4993 0.2496 0.3097  1 Nd 2.93, 2 Dy 3.24
Dy 0.9399 0.1896 0.6903  1 Nd 2.93, 2 Dy 3.24
Dy 0.5007 0.7504 0.6903  1 Nd 2.93, 2 Dy 3.24
Dy 0.9399 0.7504 0.6903  1 Nd 2.93, 2 Dy 3.24
Dy 0.0601 0.2496 0.3097  1 Nd 2.93, 2 Dy 3.24
Dy 0.0601 0.8104 0.3097  1 Nd 2.93, 2 Dy 3.24
Th 0.0000 0.0000 0.0000  6 Dy 3.33, 6 Th 3.69
Th 0.0000 0.5000 0.0000  6 Dy 3.57-3.67, 6 Th 3.69
Th 0.5000 0.5000 0.0000  6 Dy 3.57-3.67, 6 Th 3.69
Th 0.5000 0.0000 0.0000  6 Dy 3.57-3.67, 6 Th 3.69

Record 3
VASP calculation (GGA-PBE) on a relaxed structure of Ag2H2Se.

Calculated values
E_tot ... -3.086 eV/atom

Lattice parameters (Å, degrees): 8.5808 8.5808 10.3521 90.00 90.00 160.94
Closest atoms and distances in Å follow each position.
Fractional coordinates of all 10 atoms:
Ag 0.7928 0.2072 0.0754  2 Se 2.71, 4 Ag 2.79-2.84
Ag 0.8001 0.1999 0.7505  2 Se 2.70, 4 Ag 2.79-2.84
Ag 0.2072 0.7928 0.5754  2 Se 2.71, 4 Ag 2.79-2.84
Ag 0.1999 0.8001 0.2505  2 Se 2.70, 4 Ag 2.79-2.84
H 0.3797 0.6203 0.3500  1 H 0.75
H 0.5836 0.4164 0.8910  1 H 0.75
H 0.6203 0.3797 0.8500  1 H 0.75
H 0.4164 0.5836 0.3910  1 H 0.75
Se 0.3892 0.6108 0.9184  4 Ag 2.70-2.71, 2 Se 2.84
Se 0.6108 0.3892 0.4184  4 Ag 2.70-2.71, 2 Se 2.84

Record 4
VASP calculation (GGA-PBE) on a relaxed structure of SrZrSb3.

Calculated values
Energy relative to the elements, uncorrected ... 1.0768 eV per atom

Lattice parameters (Å, degrees): 5.7590 5.7590 5.7590 90.00 90.00 90.00
Closest atoms and distances in Å follow each position.
Fractional coordinates of all 5 atoms:
Sb 0.0000 0.5000 0.0000  2 Sr 2.88
Sb 0.0000 0.0000 0.5000  2 Sr 2.88
Sb 0.5000 0.0000 0.0000  2 Sr 2.88
Zr 0.5000 0.5000 0.5000  12 Sb 4.07
Sr 0.0000 0.0000 0.0000  6 Sb 2.88

Record 5
VASP calculation (GGA-PBE) on a relaxed structure of MnCrGe2.

Calculated values
Formation enthalpy at 0 K ... 169 meV per atom

Lattice parameters (Å, degrees): 2.8474 2.8474 8.1317 79.92 79.92 60.00
Closest atoms and distances in Å follow each position.
Fractional coordinates of all 4 atoms:
Cr 0.0000 0.0000 0.0000  6 Ge 2.58, 6 Cr 2.85
Ge 0.2502 0.2502 0.2493  3 Cr 2.58, 3 Mn 2.59, 6 Ge 2.85
Ge 0.7498 0.7498 0.7507  3 Cr 2.58, 3 Mn 2.59, 6 Ge 2.85
Mn 0.5000 0.5000 0.5000  6 Ge 2.59, 6 Mn 2.85

Record 6
VASP calculation (GGA-PBE) on a relaxed structure of HoSnRh4.

Calculated values
Formation enthalpy at 0 K ... -491 meV per atom

Lattice parameters (Å, degrees): 5.2816 5.2816 5.2816 60.00 60.00 60.00
Closest atoms and distances in Å follow each position.
Fractional coordinates of all 6 atoms:
Rh 0.6258 0.6258 0.1225  6 Rh 2.62-2.66
Rh 0.6258 0.1225 0.6258  6 Rh 2.62-2.66
Rh 0.6258 0.6258 0.6258  6 Rh 2.62-2.66
Rh 0.1225 0.6258 0.6258  6 Rh 2.62-2.66
Ho 0.2500 0.2500 0.2500  12 Rh 3.10, 4 Sn 3.23
Sn 0.0000 0.0000 0.0000  12 Rh 3.09, 4 Ho 3.23

Record 7
VASP calculation (GGA-PBE) on a relaxed structure of Pr5Ho2Tm.

Calculated values
Formation enthalpy at 0 K ... 270 meV per atom

Lattice parameters (Å, degrees): 14.8940 14.8940 8.6938 63.86 63.86 123.99
Closest atoms and distances in Å follow each position.
Fractional coordinates of all 16 atoms:
Pr 0.6255 0.3745 0.7500  4 Pr 3.15-3.23
Pr 0.3745 0.6255 0.2500  4 Pr 3.15-3.23
Pr 0.1702 0.4781 0.1676  3 Pr 3.10-3.23, 1 Ho 3.19
Pr 0.8738 0.0039 0.1189  2 Pr 3.10-3.15, 1 Ho 3.32
Pr 0.4781 0.1702 0.6676  3 Pr 3.10-3.23, 1 Ho 3.19
Pr 0.9961 0.1262 0.3811  2 Pr 3.10-3.15, 1 Ho 3.32
Pr 0.0039 0.8738 0.6189  2 Pr 3.10-3.15, 1 Ho 3.32
Pr 0.1262 0.9961 0.8811  2 Pr 3.10-3.15, 1 Ho 3.32
Pr 0.5219 0.8298 0.3324  3 Pr 3.10-3.23, 1 Ho 3.19
Pr 0.8298 0.5219 0.8324  3 Pr 3.10-3.23, 1 Ho 3.19
Ho 0.5000 0.0000 0.0000  2 Pr 3.19, 2 Ho 3.28
Ho 0.5000 0.5000 0.0000  4 Pr 3.32-3.66
Ho 0.5000 0.5000 0.5000  4 Pr 3.32-3.66
Ho 0.0000 0.5000 0.5000  2 Pr 3.19, 2 Ho 3.28
Tm 0.7929 0.2071 0.2500  4 Ho 3.64-3.94, 6 Pr 3.67-3.98, 2 Tm 3.98
Tm 0.2071 0.7929 0.7500  4 Ho 3.64-3.94, 6 Pr 3.67-3.98, 2 Tm 3.98

Record 8
VASP calculation (GGA-PBE) on a relaxed structure of CePaV2.

Calculated values
Formation enthalpy at 0 K ... 645 meV per atom

Lattice parameters (Å, degrees): 3.1443 3.1443 9.4277 80.40 80.40 60.00
Closest atoms and distances in Å follow each position.
Fractional coordinates of all 4 atoms:
Pa 0.5000 0.5000 0.5000  6 V 2.73
Ce 0.0000 0.0000 0.0000  2 V 2.59
V 0.0934 0.0934 0.7198  1 Ce 2.59, 3 Pa 2.73
V 0.9066 0.9066 0.2802  1 Ce 2.59, 3 Pa 2.73